A relaxed Fe2Co3 crystal, computed with PBE.

Values from the calculation:
**Energy above the most stable polymorph in this dataset**: 0.095 eV/atom
**Density of states at the Fermi level**: 0.985 states/eV/atom
**Total magnetization**: 10.39 μB per formula unit
**Formation energy**: 0.0674 eV per atom
**Electronic total energy**: -7.58 eV/atom

Lattice parameters (Å, degrees): 7.311 6.473 4.712 79.94 60.67 39.39
Fractional positions:
Fe: 0.349 0.550 0.151
Fe: 0.950 0.151 0.550
Fe: 0.099 0.300 0.901
Fe: 0.700 0.901 0.300
Co: 0.302 0.500 0.699
Co: 0.498 0.699 0.500
Co: 0.150 0.350 0.350
Co: 0.900 0.100 0.100
Co: 0.750 0.948 0.752
Co: 0.551 0.752 0.948

A relaxed Fe4Co3 crystal, computed with PBE.

Values from the calculation:
**Energy above the most stable polymorph in this dataset**: 0.104 eV/atom
**Density of states at the Fermi level**: 0.948 states/eV/atom
**Total magnetization**: 2.40 μB per formula unit
**Formation energy**: 0.0540 eV per atom
**Electronic total energy**: -7.83 eV/atom

Lattice parameters (Å, degrees): 3.525 3.529 25.003 90.00 90.00 90.00
Fractional positions:
Co: 0.000 0.000 0.286
Co: 0.500 0.000 0.786
Co: 0.000 0.500 0.786
Co: 0.500 0.000 0.069
Co: 0.500 0.000 0.502
Co: 0.500 0.500 0.286
Co: 0.000 0.000 0.002
Co: 0.500 0.500 0.002
Co: 0.000 0.000 0.569
Co: 0.500 0.500 0.569
Co: 0.000 0.500 0.069
Co: 0.000 0.500 0.502
Fe: 0.000 0.500 0.643
Fe: 0.500 0.000 0.643
Fe: 0.500 0.500 0.856
Fe: 0.000 0.500 0.929
Fe: 0.000 0.500 0.356
Fe: 0.000 0.000 0.856
Fe: 0.000 0.000 0.429
Fe: 0.000 0.000 0.716
Fe: 0.500 0.500 0.143
Fe: 0.500 0.000 0.356
Fe: 0.000 0.000 0.143
Fe: 0.500 0.500 0.716
Fe: 0.000 0.500 0.216
Fe: 0.500 0.000 0.216
Fe: 0.500 0.500 0.429
Fe: 0.500 0.000 0.929

A relaxed Fe2Co3 crystal, computed with PBE.

Values from the calculation:
**Energy above the most stable polymorph in this dataset**: 0.060 eV/atom
**Density of states at the Fermi level**: 1.218 states/eV/atom
**Total magnetization**: 10.33 μB per formula unit
**Formation energy**: 0.0324 eV per atom
**Electronic total energy**: -7.62 eV/atom

Lattice parameters (Å, degrees): 10.144 10.053 2.448 85.17 80.92 13.91
Fractional positions:
Co: 0.500 0.500 0.500
Co: 0.901 0.901 0.099
Co: 0.099 0.099 0.901
Fe: 0.301 0.301 0.699
Fe: 0.699 0.699 0.301

A relaxed Fe5Co3 crystal, computed with PBE.

Values from the calculation:
**Energy above the most stable polymorph in this dataset**: 0.020 eV/atom
**Density of states at the Fermi level**: 0.473 states/eV/atom
**Total magnetization**: 18.46 μB per formula unit
**Formation energy**: -0.0402 eV per atom
**Electronic total energy**: -7.99 eV/atom

Lattice parameters (Å, degrees): 4.722 4.722 4.932 79.98 79.98 117.06
Fractional positions:
Fe: 0.000 0.999 0.499
Fe: 0.501 0.500 0.001
Fe: 0.000 0.500 0.250
Fe: 0.003 0.497 0.750
Fe: 0.498 0.002 0.750
Co: 0.000 0.999 0.999
Co: 0.501 0.500 0.501
Co: 0.498 0.002 0.250

A relaxed Fe5Co3 crystal, computed with PBE.

Values from the calculation:
**Energy above the most stable polymorph in this dataset**: 0.010 eV/atom
**Density of states at the Fermi level**: 0.525 states/eV/atom
**Total magnetization**: 18.57 μB per formula unit
**Formation energy**: -0.0505 eV per atom
**Electronic total energy**: -8.00 eV/atom

Lattice parameters (Å, degrees): 5.702 5.702 2.842 90.00 90.00 90.00
Fractional positions:
Fe: 0.750 0.750 0.500
Fe: 0.750 0.250 0.500
Fe: 0.500 0.500 0.000
Fe: 0.250 0.250 0.500
Fe: 0.250 0.750 0.500
Co: 0.000 0.500 0.000
Co: 0.000 0.000 0.000
Co: 0.500 0.000 0.000

A relaxed Fe5Co3 crystal, computed with PBE.

Values from the calculation:
**Energy above the most stable polymorph in this dataset**: 0.071 eV/atom
**Density of states at the Fermi level**: 0.917 states/eV/atom
**Total magnetization**: 17.47 μB per formula unit
**Formation energy**: 0.0105 eV per atom
**Electronic total energy**: -7.94 eV/atom

Lattice parameters (Å, degrees): 2.823 2.823 11.467 90.00 90.00 90.00
Fractional positions:
Fe: 0.000 0.000 0.499
Fe: 0.500 0.500 0.877
Fe: 0.000 0.000 0.751
Fe: 0.500 0.500 0.373
Fe: 0.500 0.500 0.625
Co: 0.500 0.500 0.125
Co: 0.000 0.000 0.000
Co: 0.000 0.000 0.250

A relaxed Fe5Co3 crystal, computed with PBE.

Values from the calculation:
**Energy above the most stable polymorph in this dataset**: 0.037 eV/atom
**Density of states at the Fermi level**: 0.553 states/eV/atom
**Total magnetization**: 18.18 μB per formula unit
**Formation energy**: -0.0236 eV per atom
**Electronic total energy**: -7.98 eV/atom

Lattice parameters (Å, degrees): 4.006 4.006 5.738 90.00 90.00 90.00
Fractional positions:
Fe: 0.000 0.500 0.503
Fe: 0.500 0.500 0.250
Fe: 0.000 0.000 0.243
Fe: 0.500 0.000 0.503
Fe: 0.500 0.500 0.755
Co: 0.000 0.500 0.001
Co: 0.000 0.000 0.744
Co: 0.500 0.000 0.001

A relaxed Fe5Co3 crystal, computed with PBE.

Values from the calculation:
**Energy above the most stable polymorph in this dataset**: 0.023 eV/atom
**Density of states at the Fermi level**: 0.496 states/eV/atom
**Total magnetization**: 18.39 μB per formula unit
**Formation energy**: -0.0376 eV per atom
**Electronic total energy**: -7.99 eV/atom

Lattice parameters (Å, degrees): 4.726 4.726 5.692 72.47 72.47 50.33
Fractional positions:
Fe: 0.501 0.501 0.249
Fe: 0.249 0.249 0.124
Fe: 0.500 0.500 0.750
Fe: 0.752 0.752 0.374
Fe: 0.249 0.249 0.626
Co: 0.000 0.000 0.000
Co: 0.748 0.748 0.876
Co: 0.001 0.001 0.500

A relaxed Fe5Co2 crystal, computed with PBE.

Values from the calculation:
**Energy above the most stable polymorph in this dataset**: 0.150 eV/atom
**Density of states at the Fermi level**: 1.456 states/eV/atom
**Total magnetization**: 0.25 μB per formula unit
**Formation energy**: 0.1018 eV per atom
**Electronic total energy**: -7.97 eV/atom

Lattice parameters (Å, degrees): 4.273 6.378 5.864 94.79 111.37 90.00
Fractional positions:
Fe: 0.029 0.036 0.714
Fe: 0.457 0.177 0.570
Fe: 0.685 0.536 0.714
Fe: 0.315 0.464 0.286
Fe: 0.173 0.750 0.000
Fe: 0.827 0.250 0.000
Fe: 0.971 0.964 0.286
Fe: 0.887 0.323 0.430
Fe: 0.543 0.823 0.430
Fe: 0.113 0.677 0.570
Co: 0.599 0.892 0.856
Co: 0.401 0.108 0.144
Co: 0.743 0.608 0.144
Co: 0.257 0.392 0.856

A relaxed Fe4Co5 crystal, computed with PBE.

Values from the calculation:
**Energy above the most stable polymorph in this dataset**: 0.121 eV/atom
**Density of states at the Fermi level**: 1.222 states/eV/atom
**Total magnetization**: 18.31 μB per formula unit
**Formation energy**: 0.1103 eV per atom
**Electronic total energy**: -7.60 eV/atom

Lattice parameters (Å, degrees): 7.030 7.030 4.828 90.00 90.00 60.00
Fractional positions:
Co: 0.685 0.000 0.250
Co: 0.000 0.685 0.750
Co: 0.315 0.000 0.750
Co: 0.315 0.685 0.250
Co: 0.667 0.667 0.000
Co: 0.667 0.667 0.500
Co: 0.333 0.333 0.500
Co: 0.333 0.333 0.000
Co: 0.685 0.315 0.750
Co: 0.000 0.315 0.250
Fe: 0.000 0.000 0.500
Fe: 0.646 0.000 0.750
Fe: 0.000 0.354 0.750
Fe: 0.354 0.646 0.750
Fe: 0.354 0.000 0.250
Fe: 0.000 0.646 0.250
Fe: 0.646 0.354 0.250
Fe: 0.000 0.000 0.000

A relaxed FeCo7 crystal, computed with PBE.

Values from the calculation:
**Energy above the most stable polymorph in this dataset**: 0.002 eV/atom
**Density of states at the Fermi level**: 1.089 states/eV/atom
**Total magnetization**: 14.46 μB per formula unit
**Formation energy**: 0.0119 eV per atom
**Electronic total energy**: -7.26 eV/atom

Lattice parameters (Å, degrees): 5.012 5.012 3.521 90.00 90.00 90.01
Fractional positions:
Fe: 0.250 0.750 0.500
Co: 0.503 0.003 0.000
Co: 0.250 0.250 0.500
Co: 0.997 0.497 0.000
Co: 0.750 0.250 0.500
Co: 0.997 0.003 0.000
Co: 0.750 0.750 0.500
Co: 0.503 0.497 0.000

A relaxed Fe6Co5 crystal, computed with PBE.

Values from the calculation:
**Density of states at the Fermi level**: 0.536 states/eV/atom
**Total magnetization**: 24.86 μB per formula unit
**Formation energy**: 0.0723 eV per atom
**Electronic total energy**: -7.77 eV/atom

Lattice parameters (Å, degrees): 3.984 5.615 6.852 114.19 106.90 90.00
Fractional positions:
Fe: 0.500 0.233 0.000
Fe: 0.160 0.400 0.319
Fe: 0.500 0.767 0.000
Fe: 0.840 0.600 0.681
Fe: 0.840 0.081 0.681
Fe: 0.160 0.919 0.319
Co: 0.674 0.174 0.349
Co: 0.000 0.500 0.000
Co: 0.665 0.665 0.330
Co: 0.335 0.335 0.670
Co: 0.326 0.826 0.651